Computed, not measured: a geometry-optimized Ca2PrBr structure at the GGA-PBE level of DFT. Values from VASP.

```
&SYSTEM
  ibrav = 0, nat = 4, ntyp = 3
/
ATOMIC_SPECIES
Ca 40.08 Ca.upf
Pr 140.91 Pr.upf
Br 79.90 Br.upf
ATOMIC_POSITIONS crystal
Ca 0.7381 0.7381 0.7857
Ca 0.2619 0.2619 0.2143
Pr 0.5000 0.5000 0.5000
Br 0.0000 0.0000 0.0000
CELL_PARAMETERS angstrom
-0.2463 3.8174 0.3588
-3.1819 1.8343 -1.1283
-5.2477 0.7102 9.4120
```

Results
- Calculated volume: 135.1 Å³ per cell
- Polymorph energy (0 for the lowest one): 0 meV per atom
- M_tot: 0.0 μB per formula unit
- ΔE_f (raw): -0.69 eV per atom
- E: -3.30 eV per atom